Entry 1:
A relaxed structure of Er8AlSb2, computed with PBE.

Structure (extended XYZ):
```
11
Lattice="9.494 -2.491 0.000 9.494 2.491 0.000 -1.509 0.000 6.548" Properties=species:S:1:pos:R:3 pbc="T T T"
Er -0.060 0.000 1.765
Er 2.829 0.000 5.477
Er 5.787 0.000 3.164
Er 7.735 0.000 0.135
Er 9.745 0.000 6.413
Er 11.692 0.000 3.384
Er 14.651 0.000 1.071
Er 17.540 0.000 4.783
Al 8.740 0.000 3.274
Sb 3.008 0.000 1.763
Sb 14.472 0.000 4.785
```

Output
DOS(E_F), states/eV per cell: 11.13
Energy relative to the elements, uncorrected, eV/atom: -0.37
Total magnetization, μB per formula unit: 0.0
Energy, eV per atom: -4.783

=====

Entry 2:
A relaxed structure of Pm3Nd3Tl, computed with PBE.

Structure (extended XYZ):
```
14
Lattice="9.605 0.000 0.000 -4.802 8.318 0.000 0.000 0.000 5.753" Properties=species:S:1:pos:R:3 pbc="T T T"
Pm -3.320 6.820 1.438
Pm 0.556 2.033 1.438
Pm 2.038 0.534 4.315
Pm 2.764 7.783 1.438
Pm 4.246 6.285 4.315
Pm 8.122 1.498 4.315
Nd -1.980 5.223 4.315
Nd 1.269 3.992 4.315
Nd 4.091 0.897 1.438
Nd 0.711 7.421 4.315
Nd 3.533 4.326 1.438
Nd 6.782 3.095 1.438
Tl 0.000 5.545 1.438
Tl 4.802 2.773 4.315
```

Output
DOS(E_F), states/eV per cell: 17.84
Total magnetization, μB per formula unit: 0.0
Energy, eV per atom: -4.483
Energy of formation, eV/f.u.: -0.459
Excess energy over the best structure of this formula in the dataset, eV per atom: 0.000

=====

Entry 3:
A relaxed structure of TaInPt, computed with PBE.

Structure (extended XYZ):
```
3
Lattice="4.637 0.000 0.000 -2.318 4.016 0.000 0.000 0.000 2.897" Properties=species:S:1:pos:R:3 pbc="T T T"
Ta 0.000 0.000 0.000
In 2.318 1.339 1.452
Pt 0.000 2.677 1.446
```

Output
DOS(E_F), states/eV per cell: 2.25
Total magnetization, μB per formula unit: 0.0
Energy, eV per atom: -7.022
Energy of formation, eV/f.u.: -0.433

=====

Entry 4:
A relaxed structure of MgIrW2, computed with PBE.

Structure (extended XYZ):
```
4
Lattice="3.449 0.000 0.000 0.000 3.449 0.000 0.000 0.000 5.654" Properties=species:S:1:pos:R:3 pbc="T T T"
Mg 0.000 0.000 0.000
Ir 0.000 0.000 2.827
W 1.724 1.724 1.604
W 1.724 1.724 4.050
```

Output
DOS(E_F), states/eV per cell: 2.03
Total magnetization, μB per formula unit: 0.0
Energy, eV per atom: -8.647
Energy of formation, eV/f.u.: 1.775

=====

Entry 5:
A relaxed structure of AcTm2Sn, computed with PBE.

Structure (extended XYZ):
```
4
Lattice="0.000 3.891 3.891 3.891 0.000 3.891 3.891 3.891 0.000" Properties=species:S:1:pos:R:3 pbc="T T T"
Ac 0.000 0.000 0.000
Tm 1.946 1.946 1.946
Tm 5.837 5.837 5.837
Sn 3.891 3.891 3.891
```

Output
DOS(E_F), states/eV per cell: 6.41
Total magnetization, μB per formula unit: 0.0
Energy, eV per atom: -4.378
Energy of formation, eV/f.u.: -0.457
Excess energy over the best structure of this formula in the dataset, eV per atom: 0.188

=====

Entry 6:
A relaxed structure of Mg2AgMo, computed with PBE.

Structure (extended XYZ):
```
4
Lattice="1.993 -2.008 0.000 1.993 2.008 0.000 0.000 0.000 9.086" Properties=species:S:1:pos:R:3 pbc="T T T"
Mg 0.000 0.000 0.000
Mg 1.993 0.000 2.598
Ag 0.000 0.000 4.745
Mo 1.993 0.000 6.929
```

Output
DOS(E_F), states/eV per cell: 2.52
Total magnetization, μB per formula unit: 0.0
Energy, eV per atom: -3.992
Energy of formation, eV/f.u.: 0.904
Excess energy over the best structure of this formula in the dataset, eV per atom: 0.116

=====

Entry 7:
A relaxed structure of U2PdS4, computed with PBE.

Structure (extended XYZ):
```
14
Lattice="0.000 6.597 4.114 5.308 0.000 4.114 5.308 6.597 0.000" Properties=species:S:1:pos:R:3 pbc="T T T"
U 5.853 3.646 4.114
U 7.418 6.945 6.172
U 4.764 9.548 4.114
U 3.199 6.250 6.172
Pd 5.308 6.597 3.249
Pd 7.962 9.896 5.307
S 8.279 4.973 4.470
S 7.120 8.080 3.705
S 9.774 8.413 5.763
S 3.496 5.114 3.705
S 5.625 4.922 6.527
S 2.337 8.221 4.470
S 4.991 8.272 6.527
S 6.150 11.379 5.763
```

Output
DOS(E_F), states/eV per cell: 25.81
Energy relative to the elements, uncorrected, eV/atom: -1.25
Total magnetization, μB per formula unit: 4.0
Energy, eV per atom: -7.578
Excess energy over the best structure of this formula in the dataset, eV per atom: 0.000

=====

Entry 8:
A relaxed structure of Y2HfSb2, computed with PBE.

Structure (extended XYZ):
```
10
Lattice="7.863 0.000 0.000 0.000 7.863 0.000 0.000 0.000 4.206" Properties=species:S:1:pos:R:3 pbc="T T T"
Y 1.259 2.672 0.000
Y 2.672 6.604 0.000
Y 5.191 1.259 0.000
Y 6.604 5.191 0.000
Hf 0.000 0.000 2.103
Hf 3.931 3.931 2.103
Sb 1.152 5.083 2.103
Sb 2.780 1.152 2.103
Sb 5.083 6.711 2.103
Sb 6.711 2.780 2.103
```

Output
DOS(E_F), states/eV per cell: 11.53
Energy relative to the elements, uncorrected, eV/atom: -0.76
Total magnetization, μB per formula unit: 0.0
Energy, eV per atom: -6.981

=====

Entry 9:
A relaxed structure of Cs2ZnSbF6, computed with PBE.

Structure (extended XYZ):
```
10
Lattice="-3.096 3.096 5.322 3.096 -3.096 5.322 3.096 3.096 -5.322" Properties=species:S:1:pos:R:3 pbc="T T T"
Cs 3.096 0.000 2.661
Cs 0.000 3.096 2.661
Zn 0.000 0.000 0.000
Sb 0.000 0.000 5.322
F 0.000 0.000 1.941
F 1.542 1.542 0.000
F 1.554 -1.554 5.322
F -1.554 1.554 5.322
F 1.554 1.554 5.322
F 0.000 0.000 8.703
```

Output
DOS(E_F), states/eV per cell: 0.00
Energy relative to the elements, uncorrected, eV/atom: -2.34
Total magnetization, μB per formula unit: 1.0
Energy, eV per atom: -4.177

=====

Entry 10:
A relaxed structure of AcSc3H, computed with PBE.

Structure (extended XYZ):
```
5
Lattice="4.818 0.000 0.000 0.000 4.818 0.000 0.000 0.000 4.818" Properties=species:S:1:pos:R:3 pbc="T T T"
Ac 0.000 0.000 0.000
Sc 0.000 2.409 2.409
Sc 2.409 0.000 2.409
Sc 2.409 2.409 0.000
H 2.409 2.409 2.409
```

Output
DOS(E_F), states/eV per cell: 4.58
Total magnetization, μB per formula unit: 0.0
Energy, eV per atom: -5.314

=====

Entry 11:
A relaxed structure of LiAl4Pd3, computed with PBE.

Structure (extended XYZ):
```
8
Lattice="3.091 -3.072 0.000 3.091 3.072 0.000 -3.071 0.000 6.072" Properties=species:S:1:pos:R:3 pbc="T T T"
Li 0.000 0.000 0.000
Al 1.551 1.537 1.518
Al 1.560 1.537 4.554
Al 1.551 -1.537 1.518
Al 1.560 -1.537 4.554
Pd 0.010 0.000 2.966
Pd 3.091 0.000 0.000
Pd 3.100 0.000 3.106
```

Output
DOS(E_F), states/eV per cell: 2.26
Total magnetization, μB per formula unit: 0.0
Energy, eV per atom: -4.802
Energy of formation, eV/f.u.: -5.953

=====

Entry 12:
A relaxed structure of LiLaTe2, computed with PBE.

Structure (extended XYZ):
```
4
Lattice="4.003 -2.311 0.000 4.003 2.311 0.000 -0.055 0.000 7.564" Properties=species:S:1:pos:R:3 pbc="T T T"
Li 0.000 0.000 0.000
La 5.278 0.000 4.478
Te 2.611 0.000 6.430
Te 7.945 0.000 2.765
```

Output
DOS(E_F), states/eV per cell: 0.00
Energy relative to the elements, uncorrected, eV/atom: -1.36
Total magnetization, μB per formula unit: 0.0
Energy, eV per atom: -4.643

=====

> Number 1 is which compound?

Er8AlSb2